[1]
# KMnO2

A geometry-optimized KMnO2 structure (GGA+U, Alexandria).

Cell and atoms, written as extended XYZ:
```
4
Lattice="1.5335 0.8854 6.0016 -1.5335 0.8854 6.0016 0.0000 -1.7708 6.0016" Properties=species:S:1:pos:R:3 pbc="T T T"
K 0.0000 0.0000 0.0000
Mn 0.0000 0.0000 14.9615
O 0.0000 0.0000 3.9710
O 0.0000 0.0000 7.9519
```

Uncorrected energy in eV for the cell shown: -23.358
Symmetry: No. 160

***

[2]
# K2MnO4

A geometry-optimized K2MnO4 structure (GGA+U, Alexandria).

Cell and atoms, written as extended XYZ:
```
14
Lattice="-3.4772 3.4772 4.9178 3.4772 -3.4772 4.9178 3.4772 3.4772 -4.9178" Properties=species:S:1:pos:R:3 pbc="T T T"
K 0.0036 1.7386 1.2294
K 1.7386 3.4736 3.6883
K -0.0036 5.2157 1.2294
K -1.7386 3.4807 3.6883
Mn 3.4772 0.0000 2.4589
Mn 0.0000 0.0000 4.9178
O 2.1105 -0.0143 1.4926
O 3.4628 -1.3667 3.4252
O 4.8438 0.0143 1.4926
O 3.4915 2.1105 -0.9663
O 3.4915 1.3667 3.4252
O 1.3667 -0.0143 5.8841
O -0.0143 1.3667 3.9515
O 2.1105 3.4915 0.9663
```

Energy above the most stable polymorph in this dataset in eV per formula unit: 0.844
Symmetry: No. 98